VASP calculation (GGA-PBE) on a relaxed TiMnI2N crystal.

a = 5.3596 Å, b = 5.3596 Å, c = 3.5205 Å
α = 90.00°, β = 90.00°, γ = 90.00°
Positions (direct):
Ti: 0.0000 0.0000 0.0000
Mn: 0.5000 0.5000 0.5000
I: 0.0000 0.5000 0.5000
I: 0.5000 0.0000 0.5000
N: 0.5000 0.5000 0.0000

Values from the calculation:
**ΔE_f (raw)**: 0.483 eV per atom
**Symmetry**: P4/mmm, No. 123
**Crystal system**: tetragonal
**Magnetic moment**: 0.155 μB/atom
**Energy above the most stable polymorph in this dataset**: 0.343 eV/atom


VASP calculation (GGA-PBE) on a relaxed TiMnIN2 crystal.

a = 3.9406 Å, b = 3.9406 Å, c = 5.7712 Å
α = 90.00°, β = 90.00°, γ = 90.00°
Positions (direct):
Ti: 0.0000 0.0000 0.0000
Mn: 0.5000 0.5000 0.5000
I: 0.0000 0.0000 0.5000
N: 0.0000 0.5000 0.0000
N: 0.5000 0.0000 0.0000

Values from the calculation:
**ΔE_f (raw)**: 0.474 eV per atom
**Symmetry**: P4/mmm, No. 123
**Crystal system**: tetragonal
**Magnetic moment**: 0.951 μB/atom
**Energy above the most stable polymorph in this dataset**: 0.000 eV/atom


VASP calculation (GGA-PBE) on a relaxed TiMnI2N crystal.

a = 5.7112 Å, b = 5.7112 Å, c = 3.7676 Å
α = 90.00°, β = 90.00°, γ = 90.00°
Positions (direct):
Ti: 0.0000 0.0000 0.0000
Mn: 0.5000 0.5000 0.5000
I: 0.0000 0.5000 0.0000
I: 0.5000 0.0000 0.0000
N: 0.0000 0.0000 0.5000

Values from the calculation:
**ΔE_f (raw)**: 0.140 eV per atom
**Symmetry**: P4/mmm, No. 123
**Crystal system**: tetragonal
**Magnetic moment**: 0.967 μB/atom
**Energy above the most stable polymorph in this dataset**: 0.000 eV/atom


VASP calculation (GGA-PBE) on a relaxed TiMnIN2 crystal.

a = 3.7802 Å, b = 3.7802 Å, c = 5.3569 Å
α = 90.00°, β = 90.00°, γ = 90.00°
Positions (direct):
Ti: 0.0000 0.0000 0.0000
Mn: 0.5000 0.5000 0.5000
I: 0.5000 0.5000 0.0000
N: 0.0000 0.5000 0.5000
N: 0.5000 0.0000 0.5000

Values from the calculation:
**ΔE_f (raw)**: 0.849 eV per atom
**Symmetry**: P4/mmm, No. 123
**Crystal system**: tetragonal
**Magnetic moment**: 0.391 μB/atom
**Energy above the most stable polymorph in this dataset**: 0.374 eV/atom


VASP calculation (GGA-PBE) on a relaxed MnTlI2N crystal.

a = 5.9992 Å, b = 5.9992 Å, c = 3.6936 Å
α = 90.00°, β = 90.00°, γ = 90.00°
Positions (direct):
Mn: 0.0000 0.0000 0.0000
Tl: 0.5000 0.5000 0.5000
I: 0.0000 0.5000 0.0000
I: 0.5000 0.0000 0.0000
N: 0.0000 0.0000 0.5000

Values from the calculation:
**ΔE_f (raw)**: 0.005 eV per atom
**Symmetry**: P4/mmm, No. 123
**Crystal system**: tetragonal
**Magnetic moment**: 0.601 μB/atom
**Energy above the most stable polymorph in this dataset**: 0.000 eV/atom


VASP calculation (GGA-PBE) on a relaxed MnTlI2N crystal.

a = 6.2562 Å, b = 6.2562 Å, c = 4.2319 Å
α = 90.00°, β = 90.00°, γ = 90.00°
Positions (direct):
Mn: 0.0000 0.0000 0.0000
Tl: 0.5000 0.5000 0.5000
I: 0.0000 0.5000 0.5000
I: 0.5000 0.0000 0.5000
N: 0.5000 0.5000 0.0000

Values from the calculation:
**ΔE_f (raw)**: 1.090 eV per atom
**Symmetry**: P4/mmm, No. 123
**Crystal system**: tetragonal
**Magnetic moment**: 1.375 μB/atom
**Energy above the most stable polymorph in this dataset**: 1.085 eV/atom


VASP calculation (GGA-PBE) on a relaxed MnVI2N crystal.

a = 5.6168 Å, b = 5.6168 Å, c = 3.6843 Å
α = 90.00°, β = 90.00°, γ = 90.00°
Positions (direct):
Mn: 0.0000 0.0000 0.0000
V: 0.5000 0.5000 0.5000
I: 0.0000 0.5000 0.5000
I: 0.5000 0.0000 0.5000
N: 0.5000 0.5000 0.0000

Values from the calculation:
**ΔE_f (raw)**: 0.282 eV per atom
**Symmetry**: P4/mmm, No. 123
**Crystal system**: tetragonal
**Magnetic moment**: 1.199 μB/atom
**Energy above the most stable polymorph in this dataset**: 0.000 eV/atom


VASP calculation (GGA-PBE) on a relaxed MnVIN2 crystal.

a = 3.8428 Å, b = 3.8428 Å, c = 5.6185 Å
α = 90.00°, β = 90.00°, γ = 90.00°
Positions (direct):
Mn: 0.0000 0.0000 0.0000
V: 0.5000 0.5000 0.5000
I: 0.5000 0.5000 0.0000
N: 0.0000 0.5000 0.5000
N: 0.5000 0.0000 0.5000

Values from the calculation:
**ΔE_f (raw)**: 0.605 eV per atom
**Symmetry**: P4/mmm, No. 123
**Crystal system**: tetragonal
**Magnetic moment**: 0.883 μB/atom
**Energy above the most stable polymorph in this dataset**: 0.000 eV/atom